The following is a GGA-PBE calculation of a relaxed Zn6Cu3Ni crystal, from Alexandria via LeMat-Bulk.

a = 7.042 Å, b = 4.278 Å, c = 9.348 Å
α = 90.00°, β = 110.78°, γ = 90.00°
Atoms (fractional coordinates):
Zn  0.001  0.250  0.165
Zn  0.001  0.250  0.667
Zn  0.208  0.750  0.138
Zn  0.222  0.250  0.477
Zn  0.397  0.750  0.928
Zn  0.422  0.250  0.285
Zn  0.578  0.750  0.715
Zn  0.603  0.250  0.072
Zn  0.778  0.750  0.523
Zn  0.792  0.250  0.862
Zn  0.999  0.750  0.333
Zn  0.999  0.750  0.835
Cu  0.189  0.750  0.627
Cu  0.205  0.250  0.971
Cu  0.399  0.250  0.768
Cu  0.601  0.750  0.232
Cu  0.795  0.750  0.029
Cu  0.811  0.250  0.373
Ni  0.394  0.750  0.429
Ni  0.606  0.250  0.571

## Properties
Electronic total energy   -2.6728 eV per atom
Relative energy among the computed polymorphs   0 meV per atom
SG   P2_1/m, No. 11
Crystal system   monoclinic



The following is a GGA-PBE calculation of a relaxed ZnCu6Ni3 crystal, from Alexandria via LeMat-Bulk.

a = 6.750 Å, b = 4.178 Å, c = 8.828 Å
α = 90.00°, β = 109.41°, γ = 90.00°
Atoms (fractional coordinates):
Zn  0.107  0.250  0.072
Zn  0.893  0.750  0.928
Cu  0.100  0.250  0.566
Cu  0.101  0.750  0.240
Cu  0.305  0.250  0.372
Cu  0.308  0.750  0.032
Cu  0.493  0.750  0.831
Cu  0.499  0.250  0.667
Cu  0.501  0.750  0.333
Cu  0.507  0.250  0.169
Cu  0.692  0.250  0.968
Cu  0.695  0.750  0.628
Cu  0.899  0.250  0.760
Cu  0.900  0.750  0.434
Ni  0.101  0.750  0.734
Ni  0.292  0.250  0.865
Ni  0.298  0.750  0.535
Ni  0.702  0.250  0.465
Ni  0.708  0.750  0.135
Ni  0.899  0.250  0.266

## Properties
Electronic total energy   -4.3263 eV per atom
Relative energy among the computed polymorphs   0 meV per atom
SG   P2_1/m, No. 11
Crystal system   monoclinic



The following is a GGA-PBE calculation of a relaxed Zn2Cu3Ni2 crystal, from Alexandria via LeMat-Bulk.

a = 8.981 Å, b = 8.981 Å, c = 2.514 Å
α = 90.00°, β = 90.00°, γ = 154.27°
Atoms (fractional coordinates):
Zn  0.135  0.865  0.000
Zn  0.865  0.135  0.000
Cu  0.000  0.000  0.000
Cu  0.289  0.711  0.000
Cu  0.711  0.289  0.000
Ni  0.428  0.572  0.500
Ni  0.572  0.428  0.500

## Properties
Electronic total energy   -3.7155 eV per atom
Relative energy among the computed polymorphs   146 meV per atom
SG   Cmmm, No. 65
Crystal system   orthorhombic



The following is a GGA-PBE calculation of a relaxed ZnCu2Ni4 crystal, from Alexandria via LeMat-Bulk.

a = 4.370 Å, b = 4.370 Å, c = 5.677 Å
α = 97.63°, β = 97.63°, γ = 48.37°
Atoms (fractional coordinates):
Zn  0.000  0.000  0.000
Cu  0.143  0.143  0.431
Cu  0.857  0.857  0.569
Ni  0.285  0.285  0.859
Ni  0.428  0.428  0.286
Ni  0.572  0.572  0.714
Ni  0.715  0.715  0.141

## Properties
Electronic total energy   -4.7024 eV per atom
Relative energy among the computed polymorphs   0 meV per atom
SG   C2/m, No. 12
Crystal system   monoclinic



Q: Among the records above, which one has the lowest electronic total energy?
A: ZnCu2Ni4



Q: Look up the relative energy among the computed polymorphs of the second one.
A: 0 meV per atom



Q: Which value of electronic total energy does entry 4 give?
A: -4.7024 eV per atom